## TbTmCN2O2 (PBE-GGA)

Data for a geometry-optimized TbTmCN2O2 structure.

Unit cell a=3.6832 b=3.6832 c=8.1089 alpha=90.00 beta=90.00 gamma=120.00
Space group P3m1 (No. 156)
Inequivalent atoms, fractional coordinates:
Tb: 0.0000 0.0000 0.0000 (multiplicity 1)
Tm: 0.6667 0.3333 0.6464 (multiplicity 1)
C: 0.3333 0.6667 0.3241 (multiplicity 1)
N: 0.3333 0.6667 0.1715 (multiplicity 1)
N: 0.3333 0.6667 0.4762 (multiplicity 1)
O: 0.0000 0.0000 0.7154 (multiplicity 1)
O: 0.6667 0.3333 0.9213 (multiplicity 1)

Results
- calculated total energy (eV/cell) = -60.3



## TbYCN2O2 (PBE-GGA)

Data for a geometry-optimized TbYCN2O2 structure.

Unit cell a=3.7192 b=3.7192 c=8.1663 alpha=90.00 beta=90.00 gamma=120.00
Space group P3m1 (No. 156)
Inequivalent atoms, fractional coordinates:
Tb: 0.0000 0.0000 0.0000 (multiplicity 1)
Y: 0.3333 0.6667 0.3556 (multiplicity 1)
C: 0.6667 0.3333 0.6773 (multiplicity 1)
N: 0.6667 0.3333 0.5260 (multiplicity 1)
N: 0.6667 0.3333 0.8285 (multiplicity 1)
O: 0.0000 0.0000 0.2813 (multiplicity 1)
O: 0.3333 0.6667 0.0745 (multiplicity 1)

Results
- calculated total energy (eV/cell) = -62.1



## YTmCN2O2 (PBE-GGA)

Data for a geometry-optimized YTmCN2O2 structure.

Unit cell a=3.6730 b=3.6730 c=8.1140 alpha=90.00 beta=90.00 gamma=120.00
Space group P3m1 (No. 156)
Inequivalent atoms, fractional coordinates:
Y: 0.0000 0.0000 0.0000 (multiplicity 1)
Tm: 0.6667 0.3333 0.6462 (multiplicity 1)
C: 0.3333 0.6667 0.3235 (multiplicity 1)
N: 0.3333 0.6667 0.1711 (multiplicity 1)
N: 0.3333 0.6667 0.4755 (multiplicity 1)
O: 0.0000 0.0000 0.7150 (multiplicity 1)
O: 0.6667 0.3333 0.9216 (multiplicity 1)

Results
- calculated total energy (eV/cell) = -62.1